The following is a DFT calculation (GGA-PBE) of a relaxed ScTi2GeO crystal.

Properties
uncorrected formation energy	0.356	eV/atom
total magnetic moment	2.9	μB/cell

```
ScTi2GeO
1.0
5.0192 0.0000 0.0000
0.0000 5.0192 0.0000
0.0000 0.0000 3.9327
Sc Ti Ge O
1 2 1 1
direct
0.0000 0.0000 0.0000
0.0000 0.5000 0.5000
0.5000 0.0000 0.5000
0.5000 0.5000 0.5000
0.5000 0.5000 0.0000
```